SrTeAs2O8: relaxed, PBE.

Summary:
Energy relative to the elements, uncorrected = -1.40 eV per atom
Space-group type = R32, No. 155
DFT total energy = -5.883 eV per atom

a b c (Å): 8.530 8.530 8.530
angles (deg): 34.36 34.36 34.36
Sites, in units of the cell vectors:
1 Sr 0.000 0.000 0.000
2 Te 0.500 0.500 0.500
3 As 0.249 0.249 0.249
4 As 0.751 0.751 0.751
5 O 0.104 0.451 0.768
6 O 0.232 0.549 0.896
7 O 0.319 0.319 0.319
8 O 0.451 0.768 0.104
9 O 0.549 0.896 0.232
10 O 0.681 0.681 0.681
11 O 0.768 0.104 0.451
12 O 0.896 0.232 0.549


SrTeAsO6: relaxed, PBE.

Summary:
Energy relative to the elements, uncorrected = -1.56 eV per atom
Space-group type = P312, No. 149
DFT total energy = -5.915 eV per atom

a b c (Å): 5.284 5.284 5.422
angles (deg): 90.00 90.00 120.00
Sites, in units of the cell vectors:
1 Sr 0.000 0.000 0.000
2 Te 0.667 0.333 0.500
3 As 0.333 0.667 0.500
4 O 0.027 0.394 0.702
5 O 0.027 0.632 0.298
6 O 0.368 0.394 0.298
7 O 0.368 0.973 0.702
8 O 0.606 0.632 0.702
9 O 0.606 0.973 0.298


SrThAs2O8: relaxed, PBE.

Summary:
Energy relative to the elements, uncorrected = -2.23 eV per atom
Space-group type = P-3m1, No. 164
DFT total energy = -7.067 eV per atom

a b c (Å): 5.699 5.699 7.481
angles (deg): 90.00 90.00 120.00
Sites, in units of the cell vectors:
1 Sr 0.000 0.000 0.000
2 Th 0.000 0.000 0.500
3 As 0.333 0.667 0.794
4 As 0.667 0.333 0.206
5 O 0.170 0.341 0.708
6 O 0.170 0.830 0.708
7 O 0.333 0.667 0.018
8 O 0.341 0.170 0.292
9 O 0.659 0.830 0.708
10 O 0.667 0.333 0.982
11 O 0.830 0.170 0.292
12 O 0.830 0.659 0.292


SrTiAsO2: relaxed, PBE.

Summary:
Energy relative to the elements, uncorrected = -2.02 eV per atom
Space-group type = Cmcm, No. 63
DFT total energy = -6.851 eV per atom

a b c (Å): 6.487 6.487 7.139
angles (deg): 90.00 90.00 145.62
Sites, in units of the cell vectors:
1 Sr 0.227 0.773 0.750
2 Sr 0.773 0.227 0.250
3 Ti 0.500 0.500 0.000
4 Ti 0.500 0.500 0.500
5 As 0.033 0.967 0.250
6 As 0.967 0.033 0.750
7 O 0.351 0.649 0.042
8 O 0.351 0.649 0.458
9 O 0.649 0.351 0.542
10 O 0.649 0.351 0.958


SrTiAsO6: relaxed, PBE.

Summary:
Energy relative to the elements, uncorrected = -2.13 eV per atom
Space-group type = P-31c, No. 163
DFT total energy = -7.012 eV per atom

a b c (Å): 5.138 5.138 10.705
angles (deg): 90.00 90.00 120.00
Sites, in units of the cell vectors:
1 Sr 0.000 0.000 0.000
2 Sr 0.000 0.000 0.500
3 Ti 0.333 0.667 0.250
4 Ti 0.667 0.333 0.750
5 As 0.333 0.667 0.750
6 As 0.667 0.333 0.250
7 O 0.017 0.391 0.652
8 O 0.017 0.626 0.848
9 O 0.374 0.391 0.848
10 O 0.374 0.983 0.652
11 O 0.391 0.017 0.152
12 O 0.391 0.374 0.348
13 O 0.609 0.626 0.652
14 O 0.609 0.983 0.848
15 O 0.626 0.017 0.348
16 O 0.626 0.609 0.152
17 O 0.983 0.374 0.152
18 O 0.983 0.609 0.348


SrTiAsO: relaxed, PBE.

Summary:
Energy relative to the elements, uncorrected = -1.82 eV per atom
Space-group type = P6_3mc, No. 186
DFT total energy = -6.621 eV per atom

a b c (Å): 4.142 4.142 11.673
angles (deg): 90.00 90.00 120.00
Sites, in units of the cell vectors:
1 Sr 0.333 0.667 0.000
2 Sr 0.667 0.333 0.500
3 Ti 0.000 0.000 0.231
4 Ti 0.000 0.000 0.731
5 As 0.333 0.667 0.308
6 As 0.667 0.333 0.808
7 O 0.000 0.000 0.076
8 O 0.000 0.000 0.576


SrTl2As2O6: relaxed, PBE.

Summary:
Energy relative to the elements, uncorrected = -1.49 eV per atom
Space-group type = C2/m, No. 12
DFT total energy = -5.620 eV per atom

a b c (Å): 6.202 6.202 7.339
angles (deg): 117.67 117.67 61.25
Sites, in units of the cell vectors:
1 Sr 0.000 0.000 0.000
2 Tl 0.210 0.210 0.684
3 Tl 0.790 0.790 0.316
4 As 0.464 0.464 0.306
5 As 0.536 0.536 0.694
6 O 0.234 0.678 0.725
7 O 0.274 0.274 0.143
8 O 0.322 0.766 0.275
9 O 0.678 0.234 0.725
10 O 0.726 0.726 0.857
11 O 0.766 0.322 0.275


SrTlAsO4: relaxed, PBE.

Summary:
Energy relative to the elements, uncorrected = -1.64 eV per atom
Space-group type = Imma, No. 74
DFT total energy = -5.720 eV per atom

a b c (Å): 6.899 6.899 6.899
angles (deg): 125.26 114.19 90.74
Sites, in units of the cell vectors:
1 Sr 0.000 0.000 0.000
2 Sr 0.500 0.000 0.500
3 Tl 0.500 0.000 0.000
4 Tl 0.500 0.500 0.500
5 As 0.117 0.367 0.750
6 As 0.883 0.633 0.250
7 O 0.174 0.732 0.441
8 O 0.209 0.268 0.941
9 O 0.224 0.250 0.526
10 O 0.224 0.698 0.974
11 O 0.776 0.302 0.026
12 O 0.776 0.750 0.474
13 O 0.791 0.732 0.059
14 O 0.826 0.268 0.559


SrTl2AsO4: relaxed, PBE.

Summary:
Energy relative to the elements, uncorrected = -1.22 eV per atom
Space-group type = Fddd, No. 70
DFT total energy = -5.078 eV per atom

a b c (Å): 12.572 11.757 6.203
angles (deg): 82.65 68.05 29.30
Sites, in units of the cell vectors:
1 Sr 0.125 0.125 0.125
2 Sr 0.875 0.875 0.875
3 Tl 0.031 0.031 0.719
4 Tl 0.281 0.281 0.969
5 Tl 0.719 0.719 0.031
6 Tl 0.969 0.969 0.281
7 As 0.375 0.375 0.375
8 As 0.625 0.625 0.625
9 O 0.069 0.597 0.496
10 O 0.338 0.496 0.597
11 O 0.403 0.931 0.662
12 O 0.496 0.338 0.069
13 O 0.504 0.662 0.931
14 O 0.597 0.069 0.338
15 O 0.662 0.504 0.403
16 O 0.931 0.403 0.504


SrTl3As2O6: relaxed, PBE.

Summary:
Energy relative to the elements, uncorrected = -1.32 eV per atom
Space-group type = P-3m1, No. 164
DFT total energy = -5.306 eV per atom

a b c (Å): 6.277 6.277 7.042
angles (deg): 90.00 90.00 120.00
Sites, in units of the cell vectors:
1 Sr 0.000 0.000 0.000
2 Tl 0.000 0.000 0.500
3 Tl 0.333 0.667 0.168
4 Tl 0.667 0.333 0.832
5 As 0.333 0.667 0.688
6 As 0.667 0.333 0.312
7 O 0.187 0.373 0.796
8 O 0.187 0.813 0.796
9 O 0.373 0.187 0.204
10 O 0.627 0.813 0.796
11 O 0.813 0.187 0.204
12 O 0.813 0.627 0.204


SrTl2AsO6: relaxed, PBE.

Summary:
Energy relative to the elements, uncorrected = -1.32 eV per atom
Space-group type = C2/c, No. 15
DFT total energy = -5.405 eV per atom

a b c (Å): 7.749 7.749 7.331
angles (deg): 112.54 112.54 77.19
Sites, in units of the cell vectors:
1 Sr 0.189 0.811 0.750
2 Sr 0.811 0.189 0.250
3 Tl 0.297 0.357 0.874
4 Tl 0.357 0.297 0.374
5 Tl 0.643 0.703 0.626
6 Tl 0.703 0.643 0.126
7 As 0.161 0.839 0.250
8 As 0.839 0.161 0.750
9 O 0.056 0.156 0.732
10 O 0.156 0.056 0.232
11 O 0.196 0.677 0.025
12 O 0.233 0.448 0.612
13 O 0.323 0.804 0.475
14 O 0.448 0.233 0.112
15 O 0.552 0.767 0.888
16 O 0.677 0.196 0.525
17 O 0.767 0.552 0.388
18 O 0.804 0.323 0.975
19 O 0.844 0.944 0.768
20 O 0.944 0.844 0.268


Sr2TmAsO6: relaxed, PBE.

Summary:
Energy relative to the elements, uncorrected = -2.52 eV per atom
Space-group type = R-3m, No. 166
DFT total energy = -6.742 eV per atom

a b c (Å): 10.641 10.641 10.641
angles (deg): 31.01 31.01 31.01
Sites, in units of the cell vectors:
1 Sr 0.141 0.141 0.141
2 Sr 0.297 0.297 0.297
3 Sr 0.703 0.703 0.703
4 Sr 0.859 0.859 0.859
5 Tm 0.409 0.409 0.409
6 Tm 0.591 0.591 0.591
7 As 0.000 0.000 0.000
8 As 0.500 0.500 0.500
9 O 0.153 0.618 0.618
10 O 0.191 0.191 0.722
11 O 0.191 0.722 0.191
12 O 0.278 0.809 0.809
13 O 0.382 0.382 0.847
14 O 0.382 0.847 0.382
15 O 0.618 0.153 0.618
16 O 0.618 0.618 0.153
17 O 0.722 0.191 0.191
18 O 0.809 0.278 0.809
19 O 0.809 0.809 0.278
20 O 0.847 0.382 0.382


SrTm3As4O12: relaxed, PBE.

Summary:
Energy relative to the elements, uncorrected = -2.01 eV per atom
Space-group type = R32, No. 155
DFT total energy = -6.669 eV per atom

a b c (Å): 7.103 7.103 7.103
angles (deg): 105.08 105.08 105.08
Sites, in units of the cell vectors:
1 Sr 0.000 0.000 0.000
2 Tm 0.000 0.569 0.431
3 Tm 0.431 0.000 0.569
4 Tm 0.569 0.431 0.000
5 As 0.089 0.500 0.911
6 As 0.500 0.500 0.500
7 As 0.500 0.911 0.089
8 As 0.911 0.089 0.500
9 O 0.012 0.249 0.356
10 O 0.069 0.931 0.500
11 O 0.249 0.356 0.012
12 O 0.329 0.671 0.500
13 O 0.356 0.012 0.249
14 O 0.500 0.069 0.931
15 O 0.500 0.329 0.671
16 O 0.644 0.751 0.988
17 O 0.671 0.500 0.329
18 O 0.751 0.988 0.644
19 O 0.931 0.500 0.069
20 O 0.988 0.644 0.751